## Sr2DyGaCu2O7 (GGA-PBEsol)

Data for an optimized crystal structure of Sr2DyGaCu2O7.

Results
E_form (uncorrected) ... -2169.8 meV per atom
Crystal system ... orthorhombic
Space-group type ... Ima2, No. 46
V ... 12.7 A^3/atom

Unit cell a=12.0294 b=12.0294 c=12.0294 alpha=36.87 beta=153.92 gamma=154.39
Sites, in units of the cell vectors:
Sr  0.0149  0.1504  0.1653
Sr  0.0149  0.3496  0.3645
Sr  0.9851  0.6504  0.6355
Sr  0.9851  0.8496  0.8347
Dy  0.9985  0.4985  0.5000
Dy  0.9985  0.9985  0.0000
Ga  0.4707  0.7900  0.1808
Ga  0.6092  0.2900  0.8192
Cu  0.4973  0.5695  0.0708
Cu  0.4973  0.9265  0.4279
Cu  0.4986  0.0695  0.5721
Cu  0.4986  0.4265  0.9292
O  0.0065  0.6445  0.8620
O  0.4336  0.1499  0.6345
O  0.4336  0.2991  0.7836
O  0.4964  0.1834  0.1855
O  0.4964  0.8109  0.8130
O  0.5019  0.3116  0.3138
O  0.5019  0.6881  0.6903
O  0.5155  0.6499  0.2164
O  0.5155  0.7991  0.3655
O  0.7825  0.1445  0.1380
O  0.9978  0.1881  0.6862
O  0.9979  0.3109  0.8145
O  0.9979  0.6834  0.1870
O  0.9978  0.8116  0.3097